A relaxed TiAg2Au crystal, computed with PBE.

Cell lengths 7.571, 7.571, 6.015 Å; angles 51.00, 51.00, 90.00 degrees
Last column: magnetic moment on the atom in μB.
Fractional coordinates of all 8 atoms:
1 Ag 0.126 0.625 0.250  0.04
2 Ag 0.624 0.125 0.250  0.03
3 Ag 0.375 0.376 0.750  0.03
4 Ag 0.875 0.874 0.750  0.04
5 Ti 0.250 0.750 0.500  1.07
6 Ti 0.500 0.500 0.000  1.08
7 Au 0.750 0.250 0.500  0.03
8 Au 0.000 0.000 0.000  0.03

Results
**E above lowest polymorph**: 324 meV/atom
**DFT formation energy**: 0.3445 eV per atom
**Space-group type**: I-42d, No. 122

A relaxed HBr crystal, computed with PBE.

Cell lengths 8.305, 8.305, 8.305 Å; angles 90.00, 90.00, 90.00 degrees
Fractional coordinates of all 16 atoms:
1 H 0.271 0.729 0.271
2 H 0.771 0.229 0.771
3 H 0.229 0.229 0.229
4 H 0.229 0.771 0.771
5 H 0.271 0.271 0.729
6 H 0.729 0.729 0.729
7 H 0.771 0.771 0.229
8 H 0.729 0.271 0.271
9 Br 0.328 0.328 0.328
10 Br 0.172 0.828 0.172
11 Br 0.672 0.672 0.328
12 Br 0.672 0.328 0.672
13 Br 0.328 0.672 0.672
14 Br 0.828 0.172 0.172
15 Br 0.828 0.828 0.828
16 Br 0.172 0.172 0.828

Results
**Space-group type**: I-43m, No. 217
**E_tot**: -43.48 eV for the cell shown

A relaxed Tl5SbAu6 crystal, computed with PBE.

Cell lengths 6.812, 7.207, 7.658 Å; angles 61.93, 79.27, 66.69 degrees
Fractional coordinates of all 12 atoms:
1 Tl 0.000 0.361 0.277
2 Tl 0.500 0.197 0.607
3 Tl 0.500 0.500 0.000
4 Tl 0.500 0.803 0.393
5 Tl 0.000 0.639 0.723
6 Au 0.791 0.045 0.335
7 Au 0.209 0.955 0.665
8 Au 0.209 0.620 0.335
9 Au 0.696 0.813 0.000
10 Au 0.304 0.187 0.000
11 Au 0.791 0.380 0.665
12 Sb 0.000 0.000 0.000

Results
**Formation energy without anion corrections**: -0.004 eV per atom
**Space-group type**: C2/m, No. 12

A relaxed TiNb2HgH crystal, computed with PBE.

Cell lengths 4.093, 4.093, 4.458 Å; angles 90.00, 90.00, 90.00 degrees
Fractional coordinates of all 5 atoms:
1 Hg 0.500 0.500 0.500
2 Nb 0.500 0.000 0.000
3 Nb 0.000 0.500 0.000
4 Ti 0.000 0.000 0.500
5 H 0.000 0.000 0.000

Results
**Space-group type**: P4/mmm, No. 123
**E_tot**: -32.08 eV for the cell shown

| no. | calculated density (g/cm³) | total moment (Bohr magnetons per cell) |
| --- | --- | --- |
| 1 | 9.7 | 2.87 |
| 2 | 1.9 | 0.00 |
| 3 | 12.7 | 0.00 |
| 4 | 9.7 | 0.00 |